Record 1
## Ni5Pt4 (meta-GGA SCAN)

Data for a PBEsol-optimized structure of Ni5Pt4.

Cell: 4.530 4.530 7.886 Å, 107.02 107.02 47.76°
Sites, in units of the cell vectors:
Ni 0.000 0.000 0.000
Ni 0.001 0.001 0.331
Ni 0.333 0.333 0.779
Ni 0.667 0.667 0.221
Ni 0.999 0.999 0.669
Pt 0.333 0.333 0.442
Pt 0.342 0.342 0.112
Pt 0.658 0.658 0.888
Pt 0.667 0.667 0.558

ΔE_f in eV/atom: -0.121
Crystal system: monoclinic
Space group: C2/m, No. 12
DOS at the Fermi energy in states/eV/cell: 8.12
DFT total energy in eV/atom: -40.3035


Record 2
## Ni3Pt (meta-GGA SCAN)

Data for a PBEsol-optimized structure of Ni3Pt.

Cell: 3.597 3.597 3.597 Å, 90.00 90.00 90.00°
Sites, in units of the cell vectors:
Ni 0.000 0.000 0.500
Ni 0.000 0.500 0.000
Ni 0.500 0.000 0.000
Pt 0.500 0.500 0.500

ΔE_f in eV/atom: -0.118
Crystal system: cubic
Space group: Pm-3m, No. 221
DOS at the Fermi energy in states/eV/cell: 4.76
DFT total energy in eV/atom: -29.7966


Record 3
## NiPt3 (meta-GGA SCAN)

Data for a PBEsol-optimized structure of NiPt3.

Cell: 8.907 8.907 8.907 Å, 17.56 17.56 17.56°
Sites, in units of the cell vectors:
Ni 0.000 0.000 0.000
Pt 0.256 0.256 0.256
Pt 0.500 0.500 0.500
Pt 0.744 0.744 0.744

ΔE_f in eV/atom: -0.127
Crystal system: trigonal
Space group: R-3m, No. 166
DOS at the Fermi energy in states/eV/cell: 2.88
DFT total energy in eV/atom: -56.8152


> What is the formula in the third record?

NiPt3


> Which value of DOS at the Fermi energy does entry 2 give?

4.76 states/eV/cell